Entry 1:
Here is a relaxed BaB2H7 crystal from Alexandria via LeMat-Bulk. Energies are from PBE-GGA.

Cell: 3.2996 7.2594 7.2594 Å, 145.40 90.00 90.00°
Fractional coordinates of all 10 atoms:
Ba 0.0000 0.0000 0.0000
B 0.5000 0.6144 0.3856
B 0.5000 0.3856 0.6144
H 0.0000 0.5992 0.4008
H 0.0000 0.4008 0.5992
H 0.5000 0.1009 0.4242
H 0.5000 0.8991 0.5758
H 0.5000 0.4242 0.1009
H 0.5000 0.5758 0.8991
H 0.5000 0.5000 0.5000

## Properties
crystal system	orthorhombic
symmetry	Cmmm (65)
total moment	0.3	μB per formula unit
DFT total energy	-38.43	eV per formula unit

---

Entry 2:
Here is a relaxed BaBH crystal from Alexandria via LeMat-Bulk. Energies are from PBE-GGA.

Cell: 6.0870 5.1942 16.3842 Å, 90.00 90.00 90.00°
Fractional coordinates of all 24 atoms:
H 0.2500 0.5077 0.2053
H 0.7500 0.9923 0.7053
H 0.2500 0.0077 0.2947
H 0.7500 0.4923 0.7947
H 0.2500 0.9910 0.8285
H 0.7500 0.5090 0.3285
H 0.2500 0.4910 0.6715
H 0.7500 0.0090 0.1715
B 0.1207 0.0054 0.4890
B 0.8793 0.4946 0.9890
B 0.3793 0.5054 0.0110
B 0.6207 0.9946 0.5110
B 0.8793 0.9946 0.5110
B 0.1207 0.5054 0.0110
B 0.6207 0.4946 0.9890
B 0.3793 0.0054 0.4890
Ba 0.2500 0.5094 0.3858
Ba 0.7500 0.9906 0.8858
Ba 0.2500 0.0094 0.1142
Ba 0.7500 0.4906 0.6142
Ba 0.2500 0.9909 0.6584
Ba 0.7500 0.5091 0.1584
Ba 0.2500 0.4909 0.8416
Ba 0.7500 0.0091 0.3416

## Properties
crystal system	orthorhombic
symmetry	Pnma (62)
total moment	0.0	μB per formula unit
DFT total energy	-12.53	eV per formula unit

---

Entry 3:
Here is a relaxed BaB3H crystal from Alexandria via LeMat-Bulk. Energies are from PBE-GGA.

Cell: 4.1319 4.1319 4.1319 Å, 90.00 90.00 90.00°
Fractional coordinates of all 5 atoms:
H 0.0000 0.0000 0.0000
B 0.0000 0.5000 0.0000
B 0.0000 0.0000 0.5000
B 0.5000 0.0000 0.0000
Ba 0.5000 0.5000 0.5000

## Properties
energy above the most stable polymorph in this dataset	0	meV per atom
crystal system	cubic
symmetry	Pm-3m (221)
total moment	0.8	μB per formula unit
DFT total energy	-15.31	eV per formula unit

---

Entry 4:
Here is a relaxed Ba3BH crystal from Alexandria via LeMat-Bulk. Energies are from PBE-GGA.

Cell: 5.3523 5.3523 5.3523 Å, 90.00 90.00 90.00°
Fractional coordinates of all 5 atoms:
H 0.0000 0.0000 0.0000
B 0.5000 0.5000 0.5000
Ba 0.0000 0.5000 0.0000
Ba 0.0000 0.0000 0.5000
Ba 0.5000 0.0000 0.0000

## Properties
energy above the most stable polymorph in this dataset	0	meV per atom
crystal system	cubic
symmetry	Pm-3m (221)
total moment	0.0	μB per formula unit
DFT total energy	-13.10	eV per formula unit

---

> What is the total moment in the second record?

0.0 μB per formula unit